(1)
Material: FeOs2Au
Method: DFT, GGA-PBE
State: relaxed

Values from the calculation:
- energy relative to the lowest polymorph listed for this composition (eV/atom) = 0.246
- symmetry = I4/mmm, No. 139
- calculated total energy (eV per formula unit) = -32.11
- calculated density (g/cm3) = 18.1
- energy relative to the elements (eV per atom) = 0.521

Cell and atoms, written as extended XYZ:
```
4
Lattice="-0.8558 2.4922 -3.9661 -4.1507 -1.3329 -1.9154 1.2152 1.3182 4.4112" Properties=species:S:1:pos:R:3 pbc="T T T"
Os -2.5032 0.5796 -2.9408
Au -2.7193 0.2825 -0.2225
Os 0.0000 0.0000 0.0000
Fe -1.0719 2.1950 -1.2478
```

=====

(2)
Material: FeOsAu
Method: DFT, GGA-PBE
State: relaxed

Values from the calculation:
- energy relative to the lowest polymorph listed for this composition (eV/atom) = 0.456
- symmetry = F-43m, No. 216
- calculated total energy (eV per formula unit) = -20.66
- calculated density (g/cm3) = 15.4
- energy relative to the elements (eV per atom) = 0.770

Cell and atoms, written as extended XYZ:
```
3
Lattice="-0.4265 3.6134 -1.8398 -3.3113 0.7621 -2.2534 -2.8046 2.6450 1.3273" Properties=species:S:1:pos:R:3 pbc="T T T"
Au -3.2712 3.5102 -1.3830
Fe -4.9069 5.2654 -2.0745
Os 0.0000 0.0000 0.0000
```

=====

(3)
Material: Fe3OsAu
Method: DFT, GGA-PBE
State: relaxed

Values from the calculation:
- energy relative to the lowest polymorph listed for this composition (eV/atom) = 0.000
- symmetry = Pm-3m, No. 221
- calculated total energy (eV per formula unit) = -32.75
- calculated density (g/cm3) = 10.2
- energy relative to the elements (eV per atom) = 1.429

Cell and atoms, written as extended XYZ:
```
5
Lattice="-0.7228 1.4271 4.1972 3.2401 -2.7323 1.4871 3.0256 3.2670 -0.5898" Properties=species:S:1:pos:R:3 pbc="T T T"
Fe 1.6201 -1.3662 0.7435
Os 0.0000 0.0000 0.0000
Au 2.7715 0.9809 2.5472
Fe -0.3614 0.7136 2.0986
Fe 1.5128 1.6335 -0.2949
```

=====

(4)
Material: FeOs2Au
Method: DFT, GGA-PBE
State: relaxed

Values from the calculation:
- energy relative to the lowest polymorph listed for this composition (eV/atom) = 0.421
- symmetry = Fm-3m, No. 225
- calculated total energy (eV per formula unit) = -31.41
- calculated density (g/cm3) = 17.9
- energy relative to the elements (eV per atom) = 0.697

Cell and atoms, written as extended XYZ:
```
4
Lattice="2.5541 -3.4945 0.5642 -1.4634 -3.4293 2.2698 -0.9317 -3.7384 -2.0517" Properties=species:S:1:pos:R:3 pbc="T T T"
Os 0.1193 -7.9966 0.5867
Os 0.0398 -2.6655 0.1956
Au 0.0795 -5.3311 0.3912
Fe 0.0000 0.0000 0.0000
```